A plane-wave DFT calculation with PBE-GGA was carried out for crystalline MnGaRu at its relaxed geometry.

Properties
ΔE_f in meV/atom: 533
V in Å³ per cell: 45.20

Lattice parameters (Å, degrees): 2.6040 2.6040 6.9160 100.85 100.85 90.00
Each line ends with the local moment (μB).
Atoms (fractional coordinates):
Ru 0.2930 0.2930 0.5860  -0.52
Mn 0.4593 0.4593 0.9186  1.75
Ga 0.0977 0.0977 0.1954  -0.02